Entry 1:
## Er2Te4Au (PBE)

Data for a geometry-optimized Er2Te4Au structure.

a b c (Å): 7.6425 6.2306 8.8033
angles (deg): 90.00 101.25 90.00
Fractional coordinates of all 14 atoms:
Er (0.1779, 0.2500, 0.3858)
Er (0.2584, 0.2500, 0.9383)
Er (0.7416, 0.7500, 0.0617)
Er (0.8221, 0.7500, 0.6142)
Te (0.0491, 0.7500, 0.3609)
Te (0.0866, 0.7500, 0.9184)
Te (0.4571, 0.5051, 0.2318)
Te (0.4571, 0.9949, 0.2318)
Te (0.5429, 0.0051, 0.7682)
Te (0.5429, 0.4949, 0.7682)
Te (0.9134, 0.2500, 0.0816)
Te (0.9509, 0.2500, 0.6391)
Au (0.2398, 0.7500, 0.6522)
Au (0.7602, 0.2500, 0.3478)

Properties
**Total magnetic moment**: 0.0 μB per cell
**Energy relative to the elements, uncorrected**: -0.849 eV per atom



Entry 2:
## BeGaTc2Ru (PBE)

Data for a geometry-optimized BeGaTc2Ru structure.

a b c (Å): 4.5768 4.5768 4.4792
angles (deg): 90.00 90.00 90.00
Fractional coordinates of all 5 atoms:
Be (0.0000, 0.0000, 0.0000)
Ga (0.5000, 0.5000, 0.5000)
Tc (0.0000, 0.5000, 0.5000)
Tc (0.5000, 0.0000, 0.5000)
Ru (0.5000, 0.5000, 0.0000)

Properties
**Energy of formation**: 1709 meV per atom
**Total magnetic moment**: 3.5 μB per cell



Entry 3:
## Li3Ag7Sb2 (PBE)

Data for a geometry-optimized Li3Ag7Sb2 structure.

a b c (Å): 4.5529 3.2390 16.0520
angles (deg): 90.00 97.97 90.00
Fractional coordinates of all 12 atoms:
Li (0.0000, 0.0000, 0.0000)
Li (0.3161, 0.5000, 0.6278)
Li (0.6839, 0.5000, 0.3722)
Ag (0.0593, 0.5000, 0.1263)
Ag (0.2276, 0.0000, 0.4541)
Ag (0.4227, 0.0000, 0.8368)
Ag (0.5000, 0.5000, 0.0000)
Ag (0.5773, 0.0000, 0.1632)
Ag (0.7724, 0.0000, 0.5459)
Ag (0.9407, 0.5000, 0.8737)
Sb (0.1359, 0.0000, 0.2814)
Sb (0.8641, 0.0000, 0.7186)

Properties
**Total magnetic moment**: 0.0 μB per cell
**Energy relative to the elements, uncorrected**: -0.083 eV per atom



Entry 4:
## ThPt5Au (PBE)

Data for a geometry-optimized ThPt5Au structure.

a b c (Å): 9.0527 5.3003 10.8774
angles (deg): 90.00 90.00 90.00
Fractional coordinates of all 28 atoms:
Th (0.2490, 0.2500, 0.0604)
Th (0.2510, 0.7500, 0.5604)
Th (0.7490, 0.2500, 0.4396)
Th (0.7510, 0.7500, 0.9396)
Pt (0.0246, 0.7500, 0.0766)
Pt (0.0575, 0.0048, 0.2916)
Pt (0.0575, 0.4952, 0.2916)
Pt (0.0787, 0.2500, 0.5106)
Pt (0.1974, 0.2500, 0.7384)
Pt (0.3026, 0.7500, 0.2384)
Pt (0.4213, 0.7500, 0.0106)
Pt (0.4425, 0.5048, 0.7916)
Pt (0.4425, 0.9952, 0.7916)
Pt (0.4754, 0.2500, 0.5766)
Pt (0.5246, 0.7500, 0.4234)
Pt (0.5575, 0.0048, 0.2084)
Pt (0.5575, 0.4952, 0.2084)
Pt (0.5787, 0.2500, 0.9894)
Pt (0.6974, 0.2500, 0.7616)
Pt (0.8026, 0.7500, 0.2616)
Pt (0.9213, 0.7500, 0.4894)
Pt (0.9425, 0.5048, 0.7084)
Pt (0.9425, 0.9952, 0.7084)
Pt (0.9754, 0.2500, 0.9234)
Au (0.1700, 0.7500, 0.8586)
Au (0.3300, 0.2500, 0.3586)
Au (0.6700, 0.7500, 0.6414)
Au (0.8300, 0.2500, 0.1414)

Properties
**Energy of formation**: -591 meV per atom
**Total magnetic moment**: 0.0 μB per cell



Entry 5:
## Ba2Sn15Bi2 (PBE)

Data for a geometry-optimized Ba2Sn15Bi2 structure.

a b c (Å): 8.9105 8.9105 8.9105
angles (deg): 68.56 68.56 68.56
Fractional coordinates of all 19 atoms:
Ba (0.2197, 0.2197, 0.2197)
Ba (0.7803, 0.7803, 0.7803)
Sn (0.0000, 0.5000, 0.5000)
Sn (0.0694, 0.0694, 0.6996)
Sn (0.0694, 0.6996, 0.0694)
Sn (0.2027, 0.5000, 0.7973)
Sn (0.2027, 0.7973, 0.5000)
Sn (0.3004, 0.9306, 0.9306)
Sn (0.5000, 0.0000, 0.5000)
Sn (0.5000, 0.2027, 0.7973)
Sn (0.5000, 0.5000, 0.0000)
Sn (0.5000, 0.7973, 0.2027)
Sn (0.6996, 0.0694, 0.0694)
Sn (0.7973, 0.2027, 0.5000)
Sn (0.7973, 0.5000, 0.2027)
Sn (0.9306, 0.3004, 0.9306)
Sn (0.9306, 0.9306, 0.3004)
Bi (0.4080, 0.4080, 0.4080)
Bi (0.5920, 0.5920, 0.5920)

Properties
**Energy of formation**: -100 meV per atom
**Total magnetic moment**: 0.0 μB per cell



Entry 6:
## YTcHg2 (PBE)

Data for a geometry-optimized YTcHg2 structure.

a b c (Å): 4.3030 4.3030 4.4714
angles (deg): 90.00 90.00 90.00
Fractional coordinates of all 4 atoms:
Y (0.0000, 0.0000, 0.0000)
Tc (0.5000, 0.5000, 0.0000)
Hg (0.0000, 0.5000, 0.5000)
Hg (0.5000, 0.0000, 0.5000)

Properties
**Energy above the lowest structure with this stoichiometry**: 11 kJ/mol of formula units
**Energy of formation**: 90 meV per atom
**Total magnetic moment**: 0.4 μB per cell



Entry 7:
## Ac2ScTl3Te6 (PBE)

Data for a geometry-optimized Ac2ScTl3Te6 structure.

a b c (Å): 8.0386 8.0386 8.5556
angles (deg): 99.06 99.06 119.82
Fractional coordinates of all 12 atoms:
Ac (0.1658, 0.8342, 0.0000)
Ac (0.8342, 0.1658, 0.0000)
Sc (0.5000, 0.5000, 0.0000)
Tl (0.0000, 0.0000, 0.5000)
Tl (0.3277, 0.6723, 0.5000)
Tl (0.6723, 0.3277, 0.5000)
Te (0.1242, 0.4279, 0.7836)
Te (0.2706, 0.2706, 0.2237)
Te (0.4279, 0.1242, 0.7836)
Te (0.5721, 0.8758, 0.2164)
Te (0.7294, 0.7294, 0.7763)
Te (0.8758, 0.5721, 0.2164)

Properties
**Total magnetic moment**: 0.0 μB per cell
**Energy relative to the elements, uncorrected**: -1.050 eV per atom



Entry 8:
## K2ScPd (PBE)

Data for a geometry-optimized K2ScPd structure.

a b c (Å): 9.0869 9.0869 9.0869
angles (deg): 94.17 94.17 148.71
Fractional coordinates of all 8 atoms:
K (0.3750, 0.2256, 0.3506)
K (0.7744, 0.1250, 0.1494)
K (0.8750, 0.0244, 0.6494)
K (0.9756, 0.6250, 0.8506)
Sc (0.2500, 0.7500, 0.5000)
Sc (0.5000, 0.5000, 0.0000)
Pd (0.0000, 0.0000, 0.0000)
Pd (0.7500, 0.2500, 0.5000)

Properties
**Energy above the lowest structure with this stoichiometry**: 0 kJ/mol of formula units
**Energy of formation**: 317 meV per atom
**Total magnetic moment**: 0.0 μB per cell